Entry from the Alexandria database: a relaxed Na4Sc3InSe8 crystal (PBE-GGA).

a = 7.9399 Å, b = 7.9399 Å, c = 20.9459 Å
α = 90.00°, β = 90.00°, γ = 120.00°
Space group R-3m (No. 166, hexagonal axes)
Unique sites:
Na (0.0000, 0.0000, 0.0000) (multiplicity 3)
Na (0.0000, 0.5000, 0.0000) (multiplicity 9)
Sc (0.0000, 0.5000, 0.5000) (multiplicity 9)
In (0.0000, 0.0000, 0.5000) (multiplicity 3)
Se (0.0000, 0.0000, 0.2390) (multiplicity 6)
Se (0.0050, 0.5025, 0.7599) (multiplicity 18)

Summary:
**Magnetization**: 0.0 μB/cell
**Formation energy from raw total energies**: -1.38 eV/atom
**ρ**: 4.24 Mg/m³
**Final energy**: -4.81 eV/atom